DFT (PBE+U) results for a relaxed CaDyWO6 crystal.

Unit cell a=4.8381 b=5.6162 c=5.6162 alpha=120.00 beta=90.00 gamma=90.00
Each line ends with the local moment (μB).
Element x y z (fractional)
O: 0.7219 0.9983 0.2903  0.16
O: 0.2781 0.2920 0.2903  0.16
O: 0.2781 0.9983 0.7080  0.16
O: 0.7219 0.2920 0.0017  0.16
O: 0.2781 0.7097 0.0017  0.16
O: 0.7219 0.7097 0.7080  0.16
W: 0.5000 0.0000 0.0000  -0.09
Ca: 0.0000 0.3333 0.6667  0.00
Dy: 0.5000 0.6667 0.3333  -0.01

Output
- Total DFT energy (no corrections): -7.3455 eV per atom
- Total magnetization: 1.04 μB/f.u.